## Nd2CoPbO6 (PBE+U)

Data for a relaxed Nd2CoPbO6 crystal.

Results
* energy: -6.959 eV per atom
* space group: P2_1/c
* crystal system: monoclinic

Cell lengths 5.6235, 5.9416, 9.8444 Å; angles 90.00, 123.22, 90.00 degrees
Sites, in units of the cell vectors:
Nd: 0.2225 0.0663 0.2473
Nd: 0.2225 0.4337 0.7473
Nd: 0.7775 0.5663 0.2527
Nd: 0.7775 0.9337 0.7527
Co: 0.0000 0.0000 0.5000
Co: 0.0000 0.5000 0.0000
Pb: 0.5000 0.0000 0.0000
Pb: 0.5000 0.5000 0.5000
O: 0.1240 0.2006 0.9360
O: 0.1240 0.2994 0.4360
O: 0.2320 0.6937 0.9334
O: 0.2320 0.8063 0.4334
O: 0.3709 0.0494 0.7459
O: 0.3709 0.4506 0.2459
O: 0.6291 0.5494 0.7541
O: 0.6291 0.9506 0.2541
O: 0.7680 0.1937 0.5666
O: 0.7680 0.3063 0.0666
O: 0.8760 0.7006 0.5640
O: 0.8760 0.7994 0.0640